Model A:
Computed, not measured: Hf3ZrAg after structural relaxation at the PBE-GGA level of DFT.

For the total magnetization, the calculation gives 0.00 μB per atom.

The structure belongs to space group Pm-3m (No. 221); the cell edges are 5.1183, 5.1183 and 5.1183 Å and the angles 90.00°, 90.00° and 90.00°. The inequivalent atoms are Hf at (0.0000, 0.0000, 0.5000), Zr at (0.0000, 0.0000, 0.0000) and Ag at (0.5000, 0.5000, 0.5000).

---

Model B:
Computed, not measured: Hf3ZrAg after structural relaxation at the PBE-GGA level of DFT.

For the total magnetization, the calculation gives 0.24 μB per atom.

The structure belongs to space group Pm-3m (No. 221); the cell edges are 5.0762, 5.0762 and 5.0762 Å and the angles 90.00°, 90.00° and 90.00°. The inequivalent atoms are Hf at (0.0000, 0.0000, 0.5000), Zr at (0.5000, 0.5000, 0.5000) and Ag at (0.0000, 0.0000, 0.0000).

---

Which of them is least stable? Easy: model A.

---

Model A:
Computed, not measured: AgHg after structural relaxation at the PBE-GGA level of DFT.

For the total magnetization, the calculation gives 0.00 μB per atom.

The structure belongs to space group P6_3/mmc (No. 194); the cell edges are 4.9387, 4.9387 and 5.5786 Å and the angles 90.00°, 90.00° and 120.00°. The inequivalent atoms are Ag at (0.3333, 0.6667, 0.2500) and Hg at (0.3333, 0.6667, 0.7500).

---

Model B:
Computed, not measured: AgHg after structural relaxation at the PBE-GGA level of DFT.

For the total magnetization, the calculation gives 0.00 μB per atom.

The structure belongs to space group Cm (No. 8); the cell edges are 10.8266, 3.2563 and 7.3264 Å and the angles 90.00°, 107.94° and 90.00°. The inequivalent atoms are Ag at (0.0000, 0.0000, 0.0000), Ag at (0.0591, 0.0000, 0.5833), Ag at (0.1712, 0.5000, 0.3263), Hg at (0.2065, 0.5000, 0.9210), Hg at (0.3438, 0.0000, 0.6596) and Hg at (0.3897, 0.0000, 0.2604).

---

Which of them is least stable? Easy: model A.

---

Model A:
Computed, not measured: AgHg after structural relaxation at the PBE-GGA level of DFT.

For the total magnetization, the calculation gives 0.00 μB per atom.

The structure belongs to space group I4/m (No. 87); the cell edges are 13.0005, 13.0005 and 2.9627 Å and the angles 90.00°, 90.00° and 90.00°. The inequivalent atoms are Ag at (0.1569, 0.7397, 0.0000) and Hg at (0.0555, 0.2594, 0.0000).

---

Model B:
Computed, not measured: AgHg after structural relaxation at the PBE-GGA level of DFT.

For the total magnetization, the calculation gives 0.00 μB per atom.

The structure belongs to space group Pnma (No. 62); the cell edges are 5.4438, 4.9960 and 5.9750 Å and the angles 90.00°, 90.00° and 90.00°. The inequivalent atoms are Ag at (0.0807, 0.2500, 0.1287) and Hg at (0.1034, 0.2500, 0.6265).

---

Model C:
Computed, not measured: AgHg after structural relaxation at the PBE-GGA level of DFT.

For the total magnetization, the calculation gives 0.00 μB per atom.

The structure belongs to space group Fd-3m (No. 227, origin choice 2); the cell edges are 6.8816, 6.8816 and 6.8816 Å and the angles 90.00°, 90.00° and 90.00°. The inequivalent atoms are Ag at (0.1250, 0.1250, 0.1250) and Hg at (0.1250, 0.1250, 0.6250).

---

Which of them is least stable? Easy: model A.

---

Model A:
Computed, not measured: AgHg after structural relaxation at the PBE-GGA level of DFT.

For the total magnetization, the calculation gives 0.00 μB per atom.

The structure belongs to space group P-6m2 (No. 187); the cell edges are 3.1603, 3.1603 and 4.7875 Å and the angles 90.00°, 90.00° and 120.00°. The inequivalent atoms are Ag at (0.0000, 0.0000, 0.0000) and Hg at (0.3333, 0.6667, 0.5000).

---

Model B:
Computed, not measured: AgHg after structural relaxation at the PBE-GGA level of DFT.

For the total magnetization, the calculation gives 0.00 μB per atom.

The structure belongs to space group Fm-3m (No. 225); the cell edges are 5.7300, 5.7300 and 5.7300 Å and the angles 90.00°, 90.00° and 90.00°. The inequivalent atoms are Ag at (0.0000, 0.0000, 0.0000) and Hg at (0.0000, 0.0000, 0.5000).

---

Which of them is least stable? Easy: model B.

---

Model A:
Computed, not measured: AgHg after structural relaxation at the PBE-GGA level of DFT.

For the total magnetization, the calculation gives 0.00 μB per atom.

The structure belongs to space group P6_3/mmc (No. 194); the cell edges are 4.4382, 4.4382 and 5.6468 Å and the angles 90.00°, 90.00° and 120.00°. The inequivalent atoms are Ag at (0.0000, 0.0000, 0.0000) and Hg at (0.3333, 0.6667, 0.2500).

---

Model B:
Computed, not measured: AgHg after structural relaxation at the PBE-GGA level of DFT.

For the total magnetization, the calculation gives 0.00 μB per atom.

The structure belongs to space group Pmmn (No. 59, origin choice 2); the cell edges are 3.1873, 4.9040 and 5.2331 Å and the angles 90.00°, 90.00° and 90.00°. The inequivalent atoms are Ag at (0.2500, 0.2500, 0.0825) and Hg at (0.2500, 0.7500, 0.3999).

---

Which of them is least stable? Easy: model A.

---

Model A:
Computed, not measured: AgHg4 after structural relaxation at the PBE-GGA level of DFT.

For the total magnetization, the calculation gives 0.00 μB per atom.

The structure belongs to space group I4/mmm (No. 139); the cell edges are 4.0569, 4.0569 and 16.5229 Å and the angles 90.00°, 90.00° and 90.00°. The inequivalent atoms are Ag at (0.0000, 0.0000, 0.0000), Hg at (0.0000, 0.0000, 0.4104) and Hg at (0.0000, 0.5000, 0.2500).

---

Model B:
Computed, not measured: AgHg4 after structural relaxation at the PBE-GGA level of DFT.

For the total magnetization, the calculation gives 0.00 μB per atom.

The structure belongs to space group Pm-3m (No. 221); the cell edges are 5.5559, 5.5559 and 5.5559 Å and the angles 90.00°, 90.00° and 90.00°. The inequivalent atoms are Ag at (0.0000, 0.0000, 0.0000), Hg at (0.0000, 0.0000, 0.5000) and Hg at (0.5000, 0.5000, 0.5000).

---

Model C:
Computed, not measured: AgHg4 after structural relaxation at the PBE-GGA level of DFT.

For the total magnetization, the calculation gives 0.00 μB per atom.

The structure belongs to space group C2/m (No. 12); the cell edges are 5.6079, 3.2622 and 13.5795 Å and the angles 90.00°, 100.28° and 90.00°. The inequivalent atoms are Ag at (0.0000, 0.0000, 0.0000), Hg at (0.2293, 0.0000, 0.6030) and Hg at (0.2367, 0.5000, 0.1750).

---

Which of them is least stable? Easy: model A.